Entry 1:
The following is a PBE-GGA calculation of Pu2TaGa3 after structural relaxation, from Alexandria.

Properties
formation energy from the elements	-23	kJ/mol of atoms

Geometry as CIF:
```
data_Pu2TaGa3
_chemical_formula_sum 'Pu4 Ta2 Ga6'
_cell_length_a 5.651
_cell_length_b 5.651
_cell_length_c 8.710
_cell_angle_alpha 90.00
_cell_angle_beta 90.00
_cell_angle_gamma 120.00
_space_group_name_H-M_alt 'P 1'
_space_group_IT_number 1
loop_
_space_group_symop_operation_xyz
'x,y,z'
loop_
_atom_site_label
_atom_site_type_symbol
_atom_site_fract_x
_atom_site_fract_y
_atom_site_fract_z
Pu1 Pu 0.333 0.667 0.062
Pu2 Pu 0.333 0.667 0.438
Pu3 Pu 0.667 0.333 0.562
Pu4 Pu 0.667 0.333 0.938
Ta1 Ta 0.000 0.000 0.000
Ta2 Ta 0.000 0.000 0.500
Ga1 Ga 0.173 0.345 0.750
Ga2 Ga 0.173 0.827 0.750
Ga3 Ga 0.345 0.173 0.250
Ga4 Ga 0.655 0.827 0.750
Ga5 Ga 0.827 0.173 0.250
Ga6 Ga 0.827 0.655 0.250
```


Entry 2:
The following is a PBE-GGA calculation of AcTcCl after structural relaxation, from Alexandria.

Properties
formation energy (no corrections)	-808	meV/atom
E above lowest polymorph	252.2	meV/atom

Geometry as CIF:
```
data_AcTcCl
_chemical_formula_sum 'Ac2 Tc2 Cl2'
_cell_length_a 4.453
_cell_length_b 4.237
_cell_length_c 8.636
_cell_angle_alpha 90.00
_cell_angle_beta 104.08
_cell_angle_gamma 90.00
_space_group_name_H-M_alt 'P 1'
_space_group_IT_number 1
loop_
_space_group_symop_operation_xyz
'x,y,z'
loop_
_atom_site_label
_atom_site_type_symbol
_atom_site_fract_x
_atom_site_fract_y
_atom_site_fract_z
Ac1 Ac 0.114 0.250 0.218
Ac2 Ac 0.886 0.750 0.782
Tc1 Tc 0.490 0.250 0.933
Tc2 Tc 0.510 0.750 0.067
Cl1 Cl 0.302 0.250 0.616
Cl2 Cl 0.698 0.750 0.384
```


Entry 3:
The following is a PBE-GGA calculation of Pm2DyCd2Ag2 after structural relaxation, from Alexandria.

Properties
formation energy from the elements	-18	kJ/mol of atoms

Geometry as CIF:
```
data_Pm2DyCd2Ag2
_chemical_formula_sum 'Pm2 Dy1 Cd2 Ag2'
_cell_length_a 9.214
_cell_length_b 9.214
_cell_length_c 9.214
_cell_angle_alpha 30.82
_cell_angle_beta 30.82
_cell_angle_gamma 30.82
_space_group_name_H-M_alt 'P 1'
_space_group_IT_number 1
loop_
_space_group_symop_operation_xyz
'x,y,z'
loop_
_atom_site_label
_atom_site_type_symbol
_atom_site_fract_x
_atom_site_fract_y
_atom_site_fract_z
Pm1 Pm 0.124 0.124 0.124
Pm2 Pm 0.876 0.876 0.876
Dy1 Dy 0.000 0.000 0.000
Cd1 Cd 0.267 0.267 0.267
Cd2 Cd 0.733 0.733 0.733
Ag1 Ag 0.394 0.394 0.394
Ag2 Ag 0.606 0.606 0.606
```


Entry 4:
The following is a PBE-GGA calculation of BaH3Rh after structural relaxation, from Alexandria.

Geometry as CIF:
```
data_BaH3Rh
_chemical_formula_sum 'Ba1 H3 Rh1'
_cell_length_a 4.733
_cell_length_b 4.733
_cell_length_c 4.733
_cell_angle_alpha 90.00
_cell_angle_beta 90.00
_cell_angle_gamma 90.00
_space_group_name_H-M_alt 'P 1'
_space_group_IT_number 1
loop_
_space_group_symop_operation_xyz
'x,y,z'
loop_
_atom_site_label
_atom_site_type_symbol
_atom_site_fract_x
_atom_site_fract_y
_atom_site_fract_z
Ba1 Ba 0.000 0.000 0.000
H1 H 0.000 0.000 0.500
H2 H 0.000 0.500 0.000
H3 H 0.500 0.000 0.000
Rh1 Rh 0.500 0.500 0.500
```


Entry 5:
The following is a PBE-GGA calculation of K4Pu3AuO12 after structural relaxation, from Alexandria.

Properties
formation energy (no corrections)	-2134	meV/atom

Geometry as CIF:
```
data_K4Pu3AuO12
_chemical_formula_sum 'K4 Pu3 Au1 O12'
_cell_length_a 7.465
_cell_length_b 7.465
_cell_length_c 7.465
_cell_angle_alpha 109.47
_cell_angle_beta 109.47
_cell_angle_gamma 109.47
_space_group_name_H-M_alt 'P 1'
_space_group_IT_number 1
loop_
_space_group_symop_operation_xyz
'x,y,z'
loop_
_atom_site_label
_atom_site_type_symbol
_atom_site_fract_x
_atom_site_fract_y
_atom_site_fract_z
K1 K 0.000 0.000 0.500
K2 K 0.000 0.500 0.000
K3 K 0.500 0.000 0.000
K4 K 0.500 0.500 0.500
Pu1 Pu 0.000 0.500 0.500
Pu2 Pu 0.500 0.000 0.500
Pu3 Pu 0.500 0.500 0.000
Au1 Au 0.000 0.000 0.000
O1 O 0.000 0.280 0.280
O2 O 0.000 0.720 0.720
O3 O 0.250 0.500 0.750
O4 O 0.250 0.750 0.500
O5 O 0.280 0.000 0.280
O6 O 0.280 0.280 0.000
O7 O 0.500 0.250 0.750
O8 O 0.500 0.750 0.250
O9 O 0.720 0.000 0.720
O10 O 0.720 0.720 0.000
O11 O 0.750 0.250 0.500
O12 O 0.750 0.500 0.250
```


Entry 6:
The following is a PBE-GGA calculation of TlReSe2 after structural relaxation, from Alexandria.

Properties
formation energy (no corrections)	3	meV/atom
E above lowest polymorph	0.0	meV/atom

Geometry as CIF:
```
data_TlReSe2
_chemical_formula_sum 'Tl3 Re3 Se6'
_cell_length_a 3.278
_cell_length_b 3.278
_cell_length_c 30.229
_cell_angle_alpha 90.00
_cell_angle_beta 90.00
_cell_angle_gamma 120.00
_space_group_name_H-M_alt 'P 1'
_space_group_IT_number 1
loop_
_space_group_symop_operation_xyz
'x,y,z'
loop_
_atom_site_label
_atom_site_type_symbol
_atom_site_fract_x
_atom_site_fract_y
_atom_site_fract_z
Tl1 Tl 0.000 0.000 0.000
Tl2 Tl 0.333 0.667 0.667
Tl3 Tl 0.667 0.333 0.333
Re1 Re 0.000 0.000 0.500
Re2 Re 0.333 0.667 0.167
Re3 Re 0.667 0.333 0.833
Se1 Se 0.000 0.000 0.110
Se2 Se 0.000 0.000 0.890
Se3 Se 0.333 0.667 0.557
Se4 Se 0.333 0.667 0.776
Se5 Se 0.667 0.333 0.224
Se6 Se 0.667 0.333 0.443
```


Entry 7:
The following is a PBE-GGA calculation of Li2LaNdSi2 after structural relaxation, from Alexandria.

Properties
formation energy (no corrections)	-531	meV/atom

Geometry as CIF:
```
data_Li2LaNdSi2
_chemical_formula_sum 'Li2 La1 Nd1 Si2'
_cell_length_a 4.502
_cell_length_b 4.502
_cell_length_c 7.664
_cell_angle_alpha 90.00
_cell_angle_beta 90.00
_cell_angle_gamma 120.00
_space_group_name_H-M_alt 'P 1'
_space_group_IT_number 1
loop_
_space_group_symop_operation_xyz
'x,y,z'
loop_
_atom_site_label
_atom_site_type_symbol
_atom_site_fract_x
_atom_site_fract_y
_atom_site_fract_z
Li1 Li 0.333 0.667 0.231
Li2 Li 0.667 0.333 0.769
La1 La 0.000 0.000 0.500
Nd1 Nd 0.000 0.000 0.000
Si1 Si 0.333 0.667 0.757
Si2 Si 0.667 0.333 0.243
```


Entry 8:
The following is a PBE-GGA calculation of HfSb2H after structural relaxation, from Alexandria.

Properties
E above lowest polymorph	420.8	meV/atom

Geometry as CIF:
```
data_HfSb2H
_chemical_formula_sum 'Hf4 Sb8 H4'
_cell_length_a 6.669
_cell_length_b 6.669
_cell_length_c 6.854
_cell_angle_alpha 90.00
_cell_angle_beta 90.00
_cell_angle_gamma 90.00
_space_group_name_H-M_alt 'P 1'
_space_group_IT_number 1
loop_
_space_group_symop_operation_xyz
'x,y,z'
loop_
_atom_site_label
_atom_site_type_symbol
_atom_site_fract_x
_atom_site_fract_y
_atom_site_fract_z
Hf1 Hf 0.000 0.000 0.000
Hf2 Hf 0.000 0.500 0.250
Hf3 Hf 0.500 0.000 0.750
Hf4 Hf 0.500 0.500 0.500
Sb1 Sb 0.159 0.250 0.625
Sb2 Sb 0.250 0.659 0.875
Sb3 Sb 0.250 0.841 0.375
Sb4 Sb 0.341 0.250 0.125
Sb5 Sb 0.659 0.750 0.125
Sb6 Sb 0.750 0.159 0.375
Sb7 Sb 0.750 0.341 0.875
Sb8 Sb 0.841 0.750 0.625
H1 H 0.000 0.000 0.500
H2 H 0.000 0.500 0.750
H3 H 0.500 0.000 0.250
H4 H 0.500 0.500 0.000
```


Going through the records in order, we get electronic total energy values of -0.625; -0.459; -0.241; -0.206; -0.562; -0.400; -0.338; -0.387 Ry/atom.